Compound: RbCa2I5
Source: Alexandria via LeMat-Bulk
Functional: PBE
Structure: relaxed

Cell: 4.847 8.126 16.970 Å, 90.00 90.00 90.00°
Space group Immm (No. 71)
Symmetry-distinct sites (fractional):
1 Rb 0.000 0.000 0.000 (multiplicity 2)
2 Ca 0.000 0.500 0.186 (multiplicity 4)
3 I 0.000 0.260 0.344 (multiplicity 8)
4 I 0.000 0.500 0.000 (multiplicity 2)

Output
Its uncorrected formation energy is -1.5208 eV per atom. The density of states at the Fermi level comes out at 0.0 states/eV/cell.